(1)
VASP calculation (PBE-GGA) on an optimized crystal structure of RbMg.

Magnetic moment ... 0.000 μB per atom
Calculated volume ... 64.83 Å³/atom
ΔE_f ... 27.2 kJ per mole of atoms
Raw total energy ... -1.000 eV per atom

Cell: 14.153 14.153 5.178 Å, 90.00 90.00 90.00°
Sites, in units of the cell vectors:
1 Mg 0.714 0.292 0.500
2 Mg 0.292 0.286 0.500
3 Mg 0.208 0.214 0.000
4 Mg 0.286 0.708 0.500
5 Mg 0.708 0.714 0.500
6 Mg 0.792 0.786 0.000
7 Mg 0.786 0.208 0.000
8 Mg 0.214 0.792 0.000
9 Rb 0.001 0.736 0.500
10 Rb 0.736 0.999 0.500
11 Rb 0.499 0.764 0.000
12 Rb 0.264 0.001 0.500
13 Rb 0.501 0.236 0.000
14 Rb 0.236 0.499 0.000
15 Rb 0.999 0.264 0.500
16 Rb 0.764 0.501 0.000



(2)
VASP calculation (PBE-GGA) on an optimized crystal structure of ThBe3Co2.

Magnetic moment ... 0.000 μB per atom
Calculated volume ... 12.77 Å³/atom
ΔE_f ... -23.2 kJ per mole of atoms
Raw total energy ... -5.709 eV per atom

Cell: 5.131 5.572 5.572 Å, 105.95 90.00 90.00°
Sites, in units of the cell vectors:
1 Be 0.250 0.905 0.529
2 Be 0.750 0.471 0.095
3 Be 0.750 0.095 0.095
4 Be 0.750 0.095 0.471
5 Be 0.250 0.905 0.905
6 Be 0.250 0.529 0.905
7 Th 0.750 0.673 0.673
8 Th 0.250 0.327 0.327
9 Co 0.500 0.193 0.807
10 Co 0.000 0.193 0.807
11 Co 0.000 0.807 0.193
12 Co 0.500 0.807 0.193



(3)
VASP calculation (PBE-GGA) on an optimized crystal structure of ZrMnTe2.

Magnetic moment ... 0.000 μB per atom
Calculated volume ... 28.68 Å³/atom
ΔE_f (raw) ... 232 meV per atom
Raw total energy ... -5.768 eV per atom

Cell: 6.265 6.265 7.335 Å, 64.72 64.72 90.00°
Sites, in units of the cell vectors:
1 Zr 0.000 0.000 0.000
2 Zr 0.750 0.250 0.500
3 Mn 0.500 0.500 0.000
4 Mn 0.250 0.750 0.500
5 Te 0.375 0.423 0.750
6 Te 0.875 0.827 0.750
7 Te 0.577 0.125 0.250
8 Te 0.173 0.625 0.250



(4)
VASP calculation (PBE-GGA) on an optimized crystal structure of LaMn2W.

Magnetic moment ... 0.930 μB per atom
Calculated volume ... 17.23 Å³/atom
ΔE_f ... 60.2 kJ per mole of atoms
Raw total energy ... -8.431 eV per atom

Cell: 4.804 7.426 2.986 Å, 66.36 89.95 130.41°
Last column: magnetic moment on the atom in μB.
Sites, in units of the cell vectors:
1 Mn 0.000 0.000 0.000  2.43
2 Mn 0.000 0.500 0.500  2.43
3 La 0.500 0.000 0.500  -0.23
4 W 0.500 0.500 0.000  -0.74



(5)
VASP calculation (PBE-GGA) on an optimized crystal structure of ErGe3.

Magnetic moment ... 0.000 μB per atom
Calculated volume ... 20.41 Å³/atom
ΔE_f ... -42.4 kJ per mole of atoms
Raw total energy ... -5.043 eV per atom

Cell: 10.569 10.569 3.912 Å, 90.00 90.00 158.05°
Sites, in units of the cell vectors:
1 Er 0.419 0.581 0.250
2 Er 0.581 0.419 0.750
3 Ge 0.040 0.960 0.250
4 Ge 0.310 0.690 0.750
5 Ge 0.812 0.188 0.250
6 Ge 0.690 0.310 0.250
7 Ge 0.188 0.812 0.750
8 Ge 0.960 0.040 0.750



(6)
VASP calculation (PBE-GGA) on an optimized crystal structure of LaSm2Te.

Magnetic moment ... 0.026 μB per atom
Calculated volume ... 34.89 Å³/atom
ΔE_f (raw) ... -557 meV per atom
Raw total energy ... -4.934 eV per atom

Cell: 4.005 4.005 10.310 Å, 78.80 78.80 60.00°
Sites, in units of the cell vectors:
1 La 0.500 0.500 0.501
2 Sm 0.264 0.264 0.208
3 Sm 0.069 0.069 0.792
4 Te 0.667 0.667 0.999



(7)
VASP calculation (PBE-GGA) on an optimized crystal structure of Cs2Cd5Au.

Magnetic moment ... 0.000 μB per atom
Calculated volume ... 33.86 Å³/atom
ΔE_f ... -9.0 kJ per mole of atoms
Raw total energy ... -1.288 eV per atom

Cell: 5.555 9.675 10.525 Å, 90.00 90.00 106.68°
Sites, in units of the cell vectors:
1 Cd 0.410 0.820 0.250
2 Cd 0.191 0.381 0.610
3 Cd 0.191 0.381 0.890
4 Cd 0.653 0.307 0.014
5 Cd 0.809 0.619 0.390
6 Cd 0.809 0.619 0.110
7 Cd 0.347 0.693 0.514
8 Cd 0.347 0.693 0.986
9 Cd 0.590 0.180 0.750
10 Cd 0.653 0.307 0.486
11 Cs 0.805 0.610 0.750
12 Cs 0.000 0.000 0.500
13 Cs 0.000 0.000 0.000
14 Cs 0.195 0.390 0.250
15 Au 0.433 0.866 0.750
16 Au 0.567 0.134 0.250



(8)
VASP calculation (PBE-GGA) on an optimized crystal structure of Rb2MnPdS4.

Magnetic moment ... 0.142 μB per atom
Calculated volume ... 27.08 Å³/atom
ΔE_f (raw) ... -745 meV per atom
Raw total energy ... -4.846 eV per atom

Cell: 5.424 7.421 11.878 Å, 85.21 76.80 68.56°
Last column: magnetic moment on the atom in μB.
Sites, in units of the cell vectors:
1 S 0.428 0.686 0.390  -0.03
2 S 0.322 0.814 0.110  -0.03
3 S 0.886 0.686 0.610  -0.03
4 S 0.568 0.186 0.110  -0.03
5 S 0.504 0.314 0.610  -0.03
6 S 0.864 0.814 0.890  -0.03
7 S 0.182 0.314 0.390  -0.03
8 S 0.246 0.186 0.890  -0.03
9 Rb 0.571 0.500 0.857  0.00
10 Rb 0.929 0.500 0.143  0.00
11 Rb 0.179 0.000 0.643  0.00
12 Rb 0.821 0.000 0.357  0.00
13 Pd 0.000 0.000 0.000  -0.21
14 Pd 0.750 0.500 0.500  -0.21
15 Mn 0.250 0.500 0.500  1.40
16 Mn 0.500 0.000 0.000  1.40



(9)
VASP calculation (PBE-GGA) on an optimized crystal structure of SmYGaRh.

Magnetic moment ... 0.000 μB per atom
Calculated volume ... 23.36 Å³/atom
ΔE_f ... -67.8 kJ per mole of atoms
Raw total energy ... -6.093 eV per atom

Cell: 4.103 4.284 5.699 Å, 90.00 111.10 90.00°
Sites, in units of the cell vectors:
1 Ga 0.569 0.500 0.137
2 Sm 0.145 0.000 0.291
3 Rh 0.424 0.000 0.847
4 Y 0.862 0.500 0.724



(10)
VASP calculation (PBE-GGA) on an optimized crystal structure of BaBiCl2.

Magnetic moment ... 0.169 μB per atom
Calculated volume ... 34.11 Å³/atom
ΔE_f (raw) ... -652 meV per atom
Raw total energy ... -3.026 eV per atom

Cell: 10.930 10.930 10.930 Å, 20.22 20.22 20.22°
Last column: magnetic moment on the atom in μB.
Sites, in units of the cell vectors:
1 Ba 0.000 0.000 0.000  0.27
2 Cl 0.908 0.908 0.908  0.00
3 Cl 0.092 0.092 0.092  0.00
4 Bi 0.500 0.500 0.500  -0.01



(11)
VASP calculation (PBE-GGA) on an optimized crystal structure of CaNi4Sb2.

Magnetic moment ... 0.000 μB per atom
Calculated volume ... 16.66 Å³/atom
ΔE_f (raw) ... -331 meV per atom
Raw total energy ... -5.098 eV per atom

Cell: 3.995 7.640 7.640 Å, 90.00 90.00 90.00°
Sites, in units of the cell vectors:
1 Ca 0.500 0.000 0.000
2 Ca 0.000 0.500 0.500
3 Ni 0.000 0.087 0.358
4 Ni 0.500 0.413 0.858
5 Ni 0.000 0.913 0.642
6 Ni 0.500 0.587 0.142
7 Ni 0.000 0.642 0.913
8 Ni 0.500 0.142 0.587
9 Ni 0.500 0.858 0.413
10 Ni 0.000 0.358 0.087
11 Sb 0.000 0.220 0.780
12 Sb 0.500 0.280 0.280
13 Sb 0.500 0.720 0.720
14 Sb 0.000 0.780 0.220



(12)
VASP calculation (PBE-GGA) on an optimized crystal structure of CeNd4Au5.

Magnetic moment ... 0.108 μB per atom
Calculated volume ... 25.65 Å³/atom
ΔE_f ... -70.2 kJ per mole of atoms
Raw total energy ... -4.867 eV per atom

Cell: 3.690 3.690 18.835 Å, 90.00 90.00 90.00°
Last column: magnetic moment on the atom in μB.
Sites, in units of the cell vectors:
1 Au 0.500 0.500 0.900  0.00
2 Au 0.500 0.500 0.500  0.00
3 Au 0.500 0.500 0.300  0.00
4 Au 0.500 0.500 0.100  0.00
5 Au 0.500 0.500 0.700  0.00
6 Nd 0.000 0.000 0.800  0.01
7 Nd 0.000 0.000 0.600  0.00
8 Nd 0.000 0.000 0.200  0.01
9 Nd 0.000 0.000 0.400  0.00
10 Ce 0.000 0.000 0.000  0.88



What did the eighth record say?
VASP calculation (PBE-GGA) on an optimized crystal structure of Rb2MnPdS4.

Magnetic moment ... 0.142 μB per atom
Calculated volume ... 27.08 Å³/atom
ΔE_f (raw) ... -745 meV per atom
Raw total energy ... -4.846 eV per atom

Cell: 5.424 7.421 11.878 Å, 85.21 76.80 68.56°
Last column: magnetic moment on the atom in μB.
Sites, in units of the cell vectors:
1 S 0.428 0.686 0.390  -0.03
2 S 0.322 0.814 0.110  -0.03
3 S 0.886 0.686 0.610  -0.03
4 S 0.568 0.186 0.110  -0.03
5 S 0.504 0.314 0.610  -0.03
6 S 0.864 0.814 0.890  -0.03
7 S 0.182 0.314 0.390  -0.03
8 S 0.246 0.186 0.890  -0.03
9 Rb 0.571 0.500 0.857  0.00
10 Rb 0.929 0.500 0.143  0.00
11 Rb 0.179 0.000 0.643  0.00
12 Rb 0.821 0.000 0.357  0.00
13 Pd 0.000 0.000 0.000  -0.21
14 Pd 0.750 0.500 0.500  -0.21
15 Mn 0.250 0.500 0.500  1.40
16 Mn 0.500 0.000 0.000  1.40



The lowest calculated volume belongs to which entry? ThBe3Co2